LaCdSi2 | PBE-GGA | optimized geometry

Calculated values
* E_form (uncorrected): -0.08 eV/atom

a = 3.707 Å, b = 3.707 Å, c = 6.592 Å
α = 90.00°, β = 90.00°, γ = 97.02°
Element x y z (fractional)
Si 0.000 0.000 0.059
Si 0.000 0.000 0.441
Cd 0.500 0.500 0.250
La 0.500 0.500 0.750